1.
Rb4Hf5O12 (PBE-GGA, optimized geometry); calculated total energy = -175.3 eV for the cell shown
1.0
5.8418 0.0000 0.0000
-2.9209 5.0591 0.0000
0.0000 0.0000 10.3727
O Hf Rb
12 5 4
Direct
0.5099 0.4901 0.3778
0.4901 0.5099 0.6222
0.8348 0.1652 0.1209
0.4901 0.9802 0.6222
0.0198 0.5099 0.6222
0.6695 0.8348 0.8791
0.8348 0.6695 0.1209
0.1652 0.8348 0.8791
0.9802 0.4901 0.3778
0.3305 0.1652 0.1209
0.5099 0.0198 0.3778
0.1652 0.3305 0.8791
0.6667 0.3333 0.2153
0.3333 0.6667 0.7847
0.6667 0.3333 0.5232
0.3333 0.6667 0.4768
0.0000 0.0000 0.0000
0.0000 0.0000 0.3332
0.3333 0.6667 0.1194
0.6667 0.3333 0.8806
0.0000 0.0000 0.6668


2.
DyHoGaCo2 (PBE-GGA, optimized geometry); calculated total energy = -28.3 eV for the cell shown
1.0
3.8605 0.0000 0.0000
0.0000 1.8775 6.5350
0.0000 -1.8775 6.5350
Dy Co Ga Ho
1 2 1 1
Direct
0.5000 0.3674 0.3674
0.0000 0.7990 0.7990
0.0000 0.2002 0.2002
0.0000 0.0005 0.0005
0.5000 0.6330 0.6330


3.
CsHgTe3As (PBE-GGA, optimized geometry); calculated total energy = -34.4 eV for the cell shown
1.0
2.2273 -8.5058 0.0000
2.2273 8.5058 0.0000
0.0000 0.0000 11.4250
Te As Hg Cs
6 2 2 2
Direct
0.3850 0.6150 0.4750
0.9414 0.0586 0.7500
0.6150 0.3850 0.5250
0.6150 0.3850 0.9750
0.3850 0.6150 0.0250
0.0586 0.9414 0.2500
0.0000 0.0000 0.5000
0.0000 0.0000 0.0000
0.4483 0.5517 0.2500
0.5517 0.4483 0.7500
0.2483 0.7517 0.7500
0.7517 0.2483 0.2500


4.
ZrSnAs (PBE-GGA, optimized geometry); calculated total energy = -17.4 eV for the cell shown
1.0
0.0000 3.3271 3.3271
3.3271 0.0000 3.3271
3.3271 3.3271 0.0000
Sn As Zr
1 1 1
Direct
0.2500 0.2500 0.2500
0.0000 0.0000 0.0000
0.7500 0.7500 0.7500


5.
HfCuSb2 (PBE-GGA, optimized geometry); calculated total energy = -20.8 eV for the cell shown
1.0
2.0561 -1.2886 4.3450
-2.1013 1.4461 4.2732
-2.2485 -3.3417 2.9231
Sb Hf Cu
2 1 1
Direct
0.0000 0.0000 0.0000
0.7500 0.7500 0.7500
0.2500 0.2500 0.2500
0.5000 0.5000 0.5000


6.
AcCoSi (PBE-GGA, optimized geometry); calculated total energy = -16.0 eV for the cell shown; E above lowest polymorph = 804 meV per atom
1.0
-2.2983 -0.0015 4.1736
-4.7612 0.1485 0.0978
-2.4758 -3.8387 1.3548
Co Ac Si
1 1 1
Direct
0.7500 0.7500 0.7500
0.2500 0.2500 0.2500
0.0000 0.0000 0.0000